Entry 1:
# LaAgSb2

LaAgSb2 after structural relaxation (GGA-PBEsol, the Alexandria database).

```
LaAgSb2
1.0
-1.100 -4.260 0.181
3.968 -1.126 -2.375
2.344 -0.431 4.120
Sb Ag La
2 1 1
Cartesian
1.172 -0.215 2.060
1.984 -0.563 -1.188
2.606 -2.908 0.963
-0.550 -2.130 0.090
```

Values from the calculation:
Its space group is P4/mmm (123).

Entry 2:
# LaAgSb2

LaAgSb2 after structural relaxation (GGA-PBEsol, the Alexandria database).

```
LaAgSb2
1.0
-3.981 1.632 0.785
-1.167 -3.761 1.901
3.376 3.709 9.409
Sb Ag La
4 2 2
Cartesian
2.218 1.196 8.756
-1.415 1.448 1.996
1.688 1.854 4.704
-0.886 0.790 6.048
0.000 0.000 0.000
-2.574 -1.065 1.343
0.289 -0.922 3.383
0.513 3.566 7.369
```

Values from the calculation:
Its space group is P4/nmm (129).

Entry 3:
# LaAg2Sb

LaAg2Sb after structural relaxation (GGA-PBEsol, the Alexandria database).

```
LaAg2Sb
1.0
-3.192 1.829 -2.872
0.843 0.226 -4.585
-2.863 -3.902 -3.095
Sb Ag La
1 2 1
Cartesian
-4.113 -1.835 -7.973
-2.844 -3.860 -3.089
-1.137 -0.096 -2.589
-2.602 -0.916 -5.275
```

Values from the calculation:
Its space group is R3m (160).

Entry 4:
# LaAg3Sb

LaAg3Sb after structural relaxation (GGA-PBEsol, the Alexandria database).

```
LaAg3Sb
1.0
-3.308 -0.442 -3.863
-3.609 -1.538 3.267
-1.447 4.848 0.684
Sb Ag La
1 3 1
Cartesian
0.000 0.000 0.000
-1.804 -0.769 1.633
-0.723 2.424 0.342
-1.654 -0.221 -1.931
-4.182 1.434 0.044
```

Values from the calculation:
Its space group is Pm-3m (221).

no.,formation energy from raw total energies (kcal/mol of atoms),size of the total moment (μB/f.u.),total energy (eV/atom)
1,-13.9,0.0,-5.0473
2,-17.9,0.0,-5.2188
3,-10.0,0.0,-4.5663
4,6.0,0.0,-3.7059